(1)
The following is a PBE-GGA calculation of a relaxed structure of KZr2Tl, from Alexandria via LeMat-Bulk.

Output
Space-group type = I-42d, No. 122
Energy of formation = 0.778 eV/atom

Geometry as POSCAR:
```
KZr2Tl
1.0
-2.2176 2.2176 11.4667
2.2176 -2.2176 11.4667
2.2176 2.2176 -11.4667
K Zr Tl
2 4 2
Direct
0.0000 0.0000 0.0000
0.7500 0.2500 0.5000
0.1555 0.6250 0.0305
0.3750 0.4055 0.5305
0.5945 0.1250 0.9695
0.8750 0.8445 0.4695
0.2500 0.7500 0.5000
0.5000 0.5000 0.0000
```

=====

(2)
The following is a PBE-GGA calculation of a relaxed structure of CsTlBr3, from Alexandria via LeMat-Bulk.

Output
Raw formation energy = -0.931 eV/atom
Space-group type = P6_3/mmc, No. 194

Geometry as POSCAR:
```
CsTlBr3
1.0
5.9990 0.0000 0.0000
-2.9995 5.1953 0.0000
0.0000 0.0000 12.1720
Cs Tl Br
2 2 6
Direct
0.3333 0.6667 0.2500
0.6667 0.3333 0.7500
0.0000 0.0000 0.0000
0.0000 0.0000 0.5000
0.0000 0.0000 0.2500
0.0000 0.0000 0.7500
0.3333 0.6667 0.5473
0.3333 0.6667 0.9527
0.6667 0.3333 0.0473
0.6667 0.3333 0.4527
```

=====

(3)
The following is a PBE-GGA calculation of a relaxed structure of YAuSe2, from Alexandria via LeMat-Bulk.

Output
Raw formation energy = -1.031 eV/atom
Space-group type = R3m, No. 160

Geometry as POSCAR:
```
YAuSe2
1.0
2.1837 1.2608 6.8651
-2.1837 1.2608 6.8651
0.0000 -2.5215 6.8651
Y Au Se
1 1 2
Direct
0.0000 0.0000 0.0000
0.4208 0.4208 0.4208
0.2705 0.2705 0.2705
0.7764 0.7764 0.7764
```

=====

(4)
The following is a PBE-GGA calculation of a relaxed structure of RePd2Pt2, from Alexandria via LeMat-Bulk.

Output
Space-group type = I4/mmm, No. 139
Energy of formation = 0.554 eV/atom

Geometry as POSCAR:
```
RePd2Pt2
1.0
-1.7762 1.7762 6.6974
1.7762 -1.7762 6.6974
1.7762 1.7762 -6.6974
Re Pd Pt
1 2 2
Direct
0.0000 0.0000 0.0000
0.2500 0.7500 0.5000
0.7500 0.2500 0.5000
0.4045 0.4045 0.0000
0.5955 0.5955 0.0000
```

=====

(5)
The following is a PBE-GGA calculation of a relaxed structure of Sn3B, from Alexandria via LeMat-Bulk.

Output
Space-group type = Fm-3m, No. 225
Energy of formation = 0.969 eV/atom

Geometry as POSCAR:
```
Sn3B
1.0
0.0000 3.5950 3.5950
3.5950 0.0000 3.5950
3.5950 3.5950 0.0000
Sn B
3 1
Direct
0.0000 0.0000 0.0000
0.2500 0.2500 0.2500
0.7500 0.7500 0.7500
0.5000 0.5000 0.5000
```

=====

(6)
The following is a PBE-GGA calculation of a relaxed structure of Sr3NbN, from Alexandria via LeMat-Bulk.

Output
Raw formation energy = 0.351 eV/atom
Space-group type = Pm-3m, No. 221

Geometry as POSCAR:
```
Sr3NbN
1.0
5.3202 0.0000 0.0000
0.0000 5.3202 0.0000
0.0000 0.0000 5.3202
Sr Nb N
3 1 1
Direct
0.0000 0.0000 0.5000
0.0000 0.5000 0.0000
0.5000 0.0000 0.0000
0.5000 0.5000 0.5000
0.0000 0.0000 0.0000
```

=====

(7)
The following is a PBE-GGA calculation of a relaxed structure of HoTh2Zr, from Alexandria via LeMat-Bulk.

Output
Space-group type = R3m, No. 160
Energy of formation = 0.106 eV/atom

Geometry as POSCAR:
```
HoTh2Zr
1.0
1.7402 1.0047 11.2502
-1.7402 1.0047 11.2502
0.0000 -2.0094 11.2502
Ho Th Zr
1 2 1
Direct
0.0000 0.0000 0.0000
0.2451 0.2451 0.2451
0.4174 0.4174 0.4174
0.8297 0.8297 0.8297
```

=====

(8)
The following is a PBE-GGA calculation of a relaxed structure of ReAgGe3, from Alexandria via LeMat-Bulk.

Output
Space-group type = Pm-3m, No. 221
Energy of formation = 0.436 eV/atom

Geometry as POSCAR:
```
ReAgGe3
1.0
4.8497 0.0000 0.0000
0.0000 4.8497 0.0000
0.0000 0.0000 4.8497
Re Ag Ge
1 1 3
Direct
0.0000 0.0000 0.0000
0.5000 0.5000 0.5000
0.0000 0.0000 0.5000
0.0000 0.5000 0.0000
0.5000 0.0000 0.0000
```

=====

(9)
The following is a PBE-GGA calculation of a relaxed structure of FeTeI2, from Alexandria via LeMat-Bulk.

Output
Raw formation energy = 0.847 eV/atom
Space-group type = Fm-3m, No. 225

Geometry as POSCAR:
```
FeTeI2
1.0
0.0000 3.8097 3.8097
3.8097 0.0000 3.8097
3.8097 3.8097 0.0000
Fe Te I
1 1 2
Direct
0.0000 0.0000 0.0000
0.5000 0.5000 0.5000
0.2500 0.2500 0.2500
0.7500 0.7500 0.7500
```

=====

(10)
The following is a PBE-GGA calculation of a relaxed structure of AlTe3, from Alexandria via LeMat-Bulk.

Output
Raw formation energy = 0.281 eV/atom
Space-group type = R-3m, No. 166

Geometry as POSCAR:
```
AlTe3
1.0
5.2659 3.0403 1.1203
-5.2659 3.0403 1.1203
0.0000 -6.0806 1.1203
Al Te
1 3
Direct
0.0000 0.0000 0.0000
0.0000 0.5000 0.5000
0.5000 0.0000 0.5000
0.5000 0.5000 0.0000
```

=====

(11)
The following is a PBE-GGA calculation of a relaxed structure of CdBiTe2, from Alexandria via LeMat-Bulk.

Output
Raw formation energy = -0.155 eV/atom
Space-group type = R3m, No. 160

Geometry as POSCAR:
```
CdBiTe2
1.0
2.1827 1.2602 7.8499
-2.1827 1.2602 7.8499
0.0000 -2.5204 7.8499
Cd Bi Te
1 1 2
Direct
0.0000 0.0000 0.0000
0.1686 0.1686 0.1686
0.5838 0.5838 0.5838
0.7501 0.7501 0.7501
```

=====

(12)
The following is a PBE-GGA calculation of a relaxed structure of CaGa2Ni, from Alexandria via LeMat-Bulk.

Output
Space-group type = Pnma, No. 62
Energy of formation = -0.492 eV/atom

Geometry as POSCAR:
```
CaGa2Ni
1.0
14.9105 0.0000 0.0000
0.0000 6.9944 0.0000
0.0000 0.0000 5.5911
Ca Ga Ni
8 16 8
Direct
0.1040 0.2500 0.2229
0.1338 0.7500 0.0207
0.3662 0.2500 0.5207
0.3960 0.7500 0.7229
0.6040 0.2500 0.2771
0.6338 0.7500 0.4793
0.8662 0.2500 0.9793
0.8960 0.7500 0.7771
0.0440 0.0597 0.7115
0.0440 0.4403 0.7115
0.2125 0.5523 0.5284
0.2125 0.9477 0.5284
0.2875 0.0523 0.0284
0.2875 0.4477 0.0284
0.4560 0.5597 0.2115
0.4560 0.9403 0.2115
0.5440 0.0597 0.7885
0.5440 0.4403 0.7885
0.7125 0.5523 0.9716
0.7125 0.9477 0.9716
0.7875 0.0523 0.4716
0.7875 0.4477 0.4716
0.9560 0.5597 0.2885
0.9560 0.9403 0.2885
0.0724 0.7500 0.5128
0.1895 0.2500 0.7580
0.3105 0.7500 0.2580
0.4276 0.2500 0.0128
0.5724 0.7500 0.9872
0.6895 0.2500 0.7420
0.8105 0.7500 0.2420
0.9276 0.2500 0.4872
```